[1]
Computed, not measured: an optimized crystal structure of LiNd2HfSe5 at the PBE level of DFT.

The structure in POSCAR format:
```
LiNd2HfSe5
1.0
4.0306 0.0000 0.0000
-2.0153 8.6570 0.0000
0.0000 0.0000 12.2008
Se Li Hf Nd
10 2 2 4
direct
0.0529 0.1057 0.0601 Se
0.6926 0.3852 0.8603 Se
0.4957 0.9915 0.7760 Se
0.3553 0.7106 0.0020 Se
0.6447 0.2894 0.5020 Se
0.9471 0.8943 0.5601 Se
0.5043 0.0085 0.2760 Se
0.3074 0.6148 0.3603 Se
0.7175 0.4351 0.1658 Se
0.2825 0.5649 0.6658 Se
0.4431 0.8863 0.4520 Li
0.5569 0.1137 0.9520 Li
0.8035 0.6070 0.5155 Hf
0.1965 0.3930 0.0155 Hf
0.1080 0.2161 0.6880 Nd
0.1299 0.2599 0.3043 Nd
0.8701 0.7401 0.8043 Nd
0.8920 0.7839 0.1880 Nd
```

Calculated values
N(E_F)   0.19 states/eV per atom
Magnetization   0.00 μB per atom
Formation energy (no corrections)   -1.569 eV per atom
SG   Cmc2_1, No. 36
Electronic total energy   -5.88 eV per atom

[2]
Computed, not measured: an optimized crystal structure of Ta2CuW at the PBE level of DFT.

The structure in POSCAR format:
```
Ta2CuW
1.0
-1.4849 2.9534 -3.0816
-3.2236 -1.2151 -2.9250
-4.1529 1.7458 0.3603
Ta W Cu
2 1 1
direct
0.0000 0.0000 0.0000 Ta
0.2500 0.2500 0.2500 Ta
0.7500 0.7500 0.7500 W
0.5000 0.5000 0.5000 Cu
```

Calculated values
N(E_F)   1.11 states/eV per atom
Energy relative to the elements   0.288 eV per atom
Magnetization   0.00 μB per atom
SG   F-43m, No. 216
Electronic total energy   -9.90 eV per atom

[3]
Computed, not measured: an optimized crystal structure of Mg3Si4 at the PBE level of DFT.

The structure in POSCAR format:
```
Mg3Si4
1.0
-3.2491 3.4990 -2.0731
-5.1980 -3.3241 0.4713
-3.7722 1.5102 7.6556
Mg Si
6 8
direct
0.5398 0.0736 0.1240 Mg
0.3136 0.6984 0.4062 Mg
0.1002 0.9616 0.9544 Mg
0.7139 0.5699 0.9988 Mg
0.8539 0.4309 0.6404 Mg
0.9367 0.9449 0.5834 Mg
0.3396 0.2073 0.5859 Si
0.6064 0.0430 0.8226 Si
0.6113 0.3150 0.3437 Si
0.2075 0.4680 0.1812 Si
0.8251 0.6573 0.2926 Si
0.0151 0.1148 0.2364 Si
0.2224 0.4924 0.8933 Si
0.4611 0.7694 0.6906 Si
```

Calculated values
N(E_F)   0.35 states/eV per atom
Magnetization   0.00 μB per atom
Formation energy (no corrections)   0.094 eV per atom
SG   P1, No. 1
Electronic total energy   -3.69 eV per atom